1.
DFT (PBE-GGA) results for a relaxed Ac5Tb2Pr crystal.

a b c (Å): 7.672 15.339 5.470
angles (deg): 90.00 90.00 90.00
Fractional coordinates of all 16 atoms:
Ac: 0.000 0.000 0.000
Ac: 0.006 0.252 0.000
Ac: 0.244 0.623 0.500
Ac: 0.256 0.123 0.500
Ac: 0.494 0.752 0.000
Ac: 0.500 0.500 0.000
Ac: 0.506 0.248 0.000
Ac: 0.744 0.877 0.500
Ac: 0.756 0.377 0.500
Ac: 0.994 0.748 0.000
Tb: 0.247 0.876 0.500
Tb: 0.253 0.376 0.500
Tb: 0.747 0.624 0.500
Tb: 0.753 0.124 0.500
Pr: 0.000 0.500 0.000
Pr: 0.500 0.000 0.000

Formation energy in kJ/mol of formula units: 27
Space group: Pbam, No. 55
Mass density in Mg/m³: 8.2

---

2.
DFT (PBE-GGA) results for a relaxed Pu2TcN6 crystal.

a b c (Å): 4.845 4.845 9.859
angles (deg): 90.00 90.00 90.00
Fractional coordinates of all 18 atoms:
Pu: 0.000 0.000 0.171
Pu: 0.000 0.000 0.829
Pu: 0.500 0.500 0.329
Pu: 0.500 0.500 0.671
Tc: 0.000 0.000 0.500
Tc: 0.500 0.500 0.000
N: 0.188 0.188 0.341
N: 0.188 0.188 0.659
N: 0.201 0.201 0.000
N: 0.299 0.701 0.500
N: 0.312 0.688 0.159
N: 0.312 0.688 0.841
N: 0.688 0.312 0.159
N: 0.688 0.312 0.841
N: 0.701 0.299 0.500
N: 0.799 0.799 0.000
N: 0.812 0.812 0.341
N: 0.812 0.812 0.659

Space group: P4_2/mnm, No. 136
Formation energy (no corrections) in eV/atom: -0.15
Mass density in Mg/m³: 9.6

---

3.
DFT (PBE-GGA) results for a relaxed Sc2MoPb crystal.

a b c (Å): 5.417 5.417 5.417
angles (deg): 138.55 126.91 69.50
Fractional coordinates of all 4 atoms:
Sc: 0.227 0.227 0.000
Sc: 0.773 0.773 0.000
Mo: 0.000 0.500 0.500
Pb: 0.500 0.000 0.500

Formation energy in kJ/mol of formula units: 11
Space group: Immm, No. 71
Mass density in Mg/m³: 7.9

---

4.
DFT (PBE-GGA) results for a relaxed Na2SnBr crystal.

a b c (Å): 6.827 6.827 6.827
angles (deg): 106.06 106.06 116.54
Fractional coordinates of all 8 atoms:
Na: 0.088 0.625 0.963
Na: 0.375 0.338 0.463
Na: 0.662 0.125 0.037
Na: 0.875 0.912 0.537
Sn: 0.250 0.750 0.500
Sn: 0.500 0.500 0.000
Br: 0.000 0.000 0.000
Br: 0.750 0.250 0.500

Space group: I-42d, No. 122
Formation energy (no corrections) in eV/atom: -0.47
Offset from the most stable computed form in meV/atom: 247
Mass density in Mg/m³: 3.4

---

5.
DFT (PBE-GGA) results for a relaxed PrSmHo2 crystal.

a b c (Å): 11.844 11.844 11.844
angles (deg): 17.50 17.50 17.50
Fractional coordinates of all 4 atoms:
Pr: 0.000 0.000 0.000
Sm: 0.500 0.500 0.500
Ho: 0.249 0.249 0.249
Ho: 0.751 0.751 0.751

Formation energy in kJ/mol of formula units: 6
Space group: R-3m, No. 166
Offset from the most stable computed form in meV/atom: 0
Mass density in Mg/m³: 7.9

---

6.
DFT (PBE-GGA) results for a relaxed KLi2Au crystal.

a b c (Å): 6.650 6.650 6.650
angles (deg): 40.47 40.47 40.47
Fractional coordinates of all 4 atoms:
K: 0.000 0.000 0.000
Li: 0.187 0.187 0.187
Li: 0.475 0.475 0.475
Au: 0.812 0.812 0.812

Formation energy in kJ/mol of formula units: -98
Space group: R3m, No. 160
Mass density in Mg/m³: 3.7